(1)
Computed, not measured: an optimized crystal structure of AcCdAs2Au4 at the PBE level of DFT.

Cell lengths 4.880, 4.880, 7.715 Å; angles 90.00, 90.00, 90.00 degrees
Space group P4/mmm (No. 123)
One atom of each set of equivalent atoms:
Ac1 0.000 0.000 0.000
Cd1 0.000 0.000 0.500
As1 0.500 0.500 0.169
Au1 0.000 0.500 0.304

Calculated formation energy, meV/atom: -337
Raw total energy, eV/atom: -3.766

(2)
Computed, not measured: an optimized crystal structure of AcCdAs2Au at the PBE level of DFT.

Cell lengths 16.737, 4.512, 7.842 Å; angles 90.00, 116.37, 90.00 degrees
Space group C2/m (No. 12)
One atom of each set of equivalent atoms:
Ac1 0.250 0.000 0.249
Cd1 0.058 0.000 0.751
As1 0.121 0.000 0.466
As2 0.128 0.500 0.968
Au1 0.107 0.500 0.280

Calculated formation energy, meV/atom: -679
Raw total energy, eV/atom: -4.199

(3)
Computed, not measured: an optimized crystal structure of Ac4AsAuCl2 at the PBE level of DFT.

Cell lengths 7.511, 4.499, 8.079 Å; angles 90.00, 110.14, 90.00 degrees
Space group P2/m (No. 10)
One atom of each set of equivalent atoms:
Ac1 0.236 0.000 0.243
Ac2 0.243 0.500 0.744
As1 0.000 0.000 0.500
Au1 0.000 0.500 0.000
Cl1 0.500 0.000 0.000
Cl2 0.500 0.500 0.500

Formation energy without anion corrections, eV/f.u.: -10.6
Raw total energy, eV/atom: -4.829

(4)
Computed, not measured: an optimized crystal structure of AcCuAsAu at the PBE level of DFT.

Cell lengths 7.163, 7.163, 7.163 Å; angles 90.00, 90.00, 90.00 degrees
Space group F-43m (No. 216)
One atom of each set of equivalent atoms:
Ac1 0.000 0.000 0.000
Cu1 0.250 0.250 0.250
As1 0.000 0.000 0.500
Au1 0.250 0.250 0.750

Calculated formation energy, meV/atom: -331
Raw total energy, eV/atom: -4.364

(5)
Computed, not measured: an optimized crystal structure of AcEuAsAu at the PBE level of DFT.

Cell lengths 7.644, 7.644, 7.644 Å; angles 90.00, 90.00, 90.00 degrees
Space group F-43m (No. 216)
One atom of each set of equivalent atoms:
Ac1 0.000 0.000 0.000
Eu1 0.000 0.000 0.500
As1 0.250 0.250 0.250
Au1 0.250 0.250 0.750

Calculated formation energy, meV/atom: -930
Raw total energy, eV/atom: -6.507

(6)
Computed, not measured: an optimized crystal structure of AcAsAuF at the PBE level of DFT.

Cell lengths 4.325, 4.325, 8.832 Å; angles 90.00, 90.00, 90.00 degrees
Space group P4/nmm (No. 129, origin choice 2)
One atom of each set of equivalent atoms:
Ac1 0.250 0.250 0.185
As1 0.250 0.250 0.697
Au1 0.250 0.750 0.500
F1 0.250 0.750 0.000

Formation energy without anion corrections, eV/f.u.: -7.6
Raw total energy, eV/atom: -5.368

(7)
Computed, not measured: an optimized crystal structure of AcGaAsAu at the PBE level of DFT.

Cell lengths 7.418, 7.418, 7.418 Å; angles 90.00, 90.00, 90.00 degrees
Space group F-43m (No. 216)
One atom of each set of equivalent atoms:
Ac1 0.000 0.000 0.000
Ga1 0.000 0.000 0.500
As1 0.250 0.250 0.250
Au1 0.250 0.250 0.750

Calculated formation energy, meV/atom: -559
Raw total energy, eV/atom: -4.324

(8)
Computed, not measured: an optimized crystal structure of AcGdAsAu at the PBE level of DFT.

Cell lengths 7.542, 7.542, 7.542 Å; angles 90.00, 90.00, 90.00 degrees
Space group F-43m (No. 216)
One atom of each set of equivalent atoms:
Ac1 0.000 0.000 0.000
Gd1 0.000 0.000 0.500
As1 0.250 0.250 0.750
Au1 0.250 0.250 0.250

Calculated formation energy, meV/atom: -858
Raw total energy, eV/atom: -7.387